MnRhBr2: relaxed, GGA-PBE.

abc: 3.617 3.618 7.447
angles: 90.00 95.44 90.00
Space group Pm (No. 6)
One atom of each set of equivalent atoms:
Mn 0.000 0.000 0.000 x1
Rh 0.516 0.500 0.101 x1
Br 0.261 0.500 0.776 x1
Br 0.689 0.000 0.332 x1

Raw formation energy = -3.2 kcal/mol of atoms
DFT total energy = -5.11 eV per atom
Calculated volume = 24.25 Å³/atom

---

Ac4LaLu: relaxed, GGA-PBE.

abc: 10.133 10.133 10.133
angles: 90.00 90.00 90.00
Space group F-43m (No. 216)
One atom of each set of equivalent atoms:
Ac 0.124 0.124 0.376 x16
La 0.000 0.000 0.000 x4
Lu 0.250 0.250 0.750 x4

Formation enthalpy at 0 K = 2.088 eV/f.u.
DFT total energy = -3.97 eV per atom
Calculated volume = 43.35 Å³/atom

---

MgInTcAs2: relaxed, GGA-PBE.

abc: 4.797 4.797 5.206
angles: 90.00 90.00 90.00
Space group P4/mmm (No. 123)
One atom of each set of equivalent atoms:
Mg 0.000 0.000 0.000 x1
In 0.500 0.500 0.000 x1
Tc 0.000 0.000 0.500 x1
As 0.000 0.500 0.500 x2

Formation enthalpy at 0 K = 0.814 eV/f.u.
DFT total energy = -4.64 eV per atom
Calculated volume = 23.96 Å³/atom